First-principles (PBE) data for crystalline MgAl10Fe2 at its relaxed geometry, as listed in the Alexandria database.

Structure (POSCAR):
```
MgAl10Fe2
1.0
-2.623 -2.993 5.436
1.034 -5.636 -3.544
8.116 -0.723 3.518
Al Fe Mg
20 4 2
direct
0.145 0.855 0.906 Al
0.629 0.371 0.961 Al
0.629 0.371 0.539 Al
0.371 0.629 0.461 Al
0.139 0.423 0.250 Al
0.782 0.526 0.250 Al
0.861 0.577 0.750 Al
0.855 0.145 0.094 Al
0.371 0.629 0.039 Al
0.145 0.855 0.594 Al
0.218 0.474 0.750 Al
0.231 0.231 0.500 Al
0.577 0.861 0.250 Al
0.769 0.769 0.000 Al
0.474 0.218 0.250 Al
0.526 0.782 0.750 Al
0.769 0.769 0.500 Al
0.231 0.231 0.000 Al
0.423 0.139 0.750 Al
0.855 0.145 0.406 Al
0.500 0.000 0.500 Fe
0.000 0.500 0.500 Fe
0.000 0.500 0.000 Fe
0.500 0.000 0.000 Fe
0.130 0.870 0.250 Mg
0.870 0.130 0.750 Mg
```

**Density of states at the Fermi level**: 0.42 states/eV/atom
**Calculated formation energy**: -18.6 kJ per mole of atoms

First-principles (PBE) data for crystalline Nd6Sm3Er2Mg at its relaxed geometry, as listed in the Alexandria database.

Structure (POSCAR):
```
Nd6Sm3Er2Mg
1.0
-3.957 -4.279 -2.340
4.667 2.244 -3.554
6.748 -7.847 5.766
Nd Er Sm Mg
6 2 3 1
direct
0.919 0.587 0.755 Nd
0.748 0.748 0.246 Nd
0.081 0.413 0.245 Nd
0.413 0.081 0.245 Nd
0.252 0.252 0.754 Nd
0.587 0.919 0.755 Nd
0.334 0.666 0.000 Er
0.666 0.334 0.000 Er
0.500 0.500 0.500 Sm
0.833 0.167 0.500 Sm
0.167 0.833 0.500 Sm
0.000 0.000 0.000 Mg
```

**Density of states at the Fermi level**: 1.16 states/eV/atom
**Calculated formation energy**: 2.6 kJ per mole of atoms

| no. | density (g/cm3) | calculated total energy (eV/atom) |
| --- | --- | --- |
| 1 | 3.367 | -4.50 |
| 2 | 6.989 | -4.43 |